# PBE-GGA LiV3Ag, relaxed
data_LiV3Ag
_symmetry_space_group_name_H-M 'P m -3 m'
_symmetry_Int_Tables_number 221
_symmetry_space_group_name_Hall '-P 4 2 3'
_cell_length_a 4.992
_cell_length_b 4.992
_cell_length_c 4.992
_cell_angle_alpha 90.00
_cell_angle_beta 90.00
_cell_angle_gamma 90.00
loop_
_atom_site_label
_atom_site_type_symbol
_atom_site_fract_x
_atom_site_fract_y
_atom_site_fract_z
_atom_site_occupancy
Li1 Li 0.000 0.000 0.000 1
V1 V 0.000 0.500 0.500 1
Ag1 Ag 0.500 0.500 0.500 1
# final energy: -4.80 eV/atom
# distance to the lowest polymorph of the same formula: 0.3816 eV per atom
# energy of formation: 1.6195 eV per atom

=====

# PBE-GGA Nd2ErTlO6, relaxed
data_Nd2ErTlO6
_symmetry_space_group_name_H-M 'R 3'
_symmetry_Int_Tables_number 146
_symmetry_space_group_name_Hall 'R 3'
_cell_length_a 5.9505
_cell_length_b 5.9505
_cell_length_c 15.3520
_cell_angle_alpha 90.00
_cell_angle_beta 90.00
_cell_angle_gamma 120.00
loop_
_atom_site_label
_atom_site_type_symbol
_atom_site_fract_x
_atom_site_fract_y
_atom_site_fract_z
_atom_site_occupancy
Nd1 Nd 0.0000 0.0000 0.0000 1
Nd2 Nd 0.0000 0.0000 0.4972 1
Er1 Er 0.0000 0.0000 0.7185 1
Tl1 Tl 0.0000 0.0000 0.2205 1
O1 O 0.0512 0.6929 0.7796 1
O2 O 0.0584 0.3716 0.2826 1
# final energy: -7.33 eV/atom
# formation energy without anion corrections: -2711 meV per atom